# 1
First-principles (GGA-PBE) data for a relaxed Dy4ScHg5 crystal, as listed in the Alexandria database.

Computed properties:
Energy relative to the elements   -465 meV/atom
M_tot   0.01 μB per cell
Space group   No. 123

Cell lengths 3.673, 3.673, 18.512 Å; angles 90.00, 90.00, 90.00 degrees
Positions (direct):
Hg (0.500, 0.500, 0.090)
Dy (0.000, 0.000, 0.194)
Hg (0.500, 0.500, 0.910)
Dy (0.000, 0.000, 0.602)
Hg (0.500, 0.500, 0.500)
Hg (0.500, 0.500, 0.704)
Sc (0.000, 0.000, 0.000)
Dy (0.000, 0.000, 0.806)
Hg (0.500, 0.500, 0.296)
Dy (0.000, 0.000, 0.398)


# 2
First-principles (GGA-PBE) data for a relaxed TbTlSn2Te4 crystal, as listed in the Alexandria database.

Computed properties:
Energy relative to the elements, uncorrected   -0.6065 eV per atom
M_tot   0.00 μB per cell
Space group   No. 10

Cell lengths 4.530, 7.867, 7.973 Å; angles 71.53, 90.00, 90.00 degrees
Positions (direct):
Sn (0.500, 0.000, 0.500)
Te (0.000, 0.756, 0.729)
Te (0.000, 0.244, 0.271)
Tb (0.000, 0.500, 0.500)
Te (0.500, 0.746, 0.267)
Te (0.500, 0.254, 0.733)
Tl (0.500, 0.500, 0.000)
Sn (0.000, 0.000, 0.000)


# 3
First-principles (GGA-PBE) data for a relaxed TmGa4Co2Ir crystal, as listed in the Alexandria database.

Computed properties:
Energy relative to the elements   -388 meV/atom
M_tot   0.00 μB per cell
Space group   No. 166

Cell lengths 4.099, 4.099, 8.888 Å; angles 76.67, 76.67, 60.00 degrees
Positions (direct):
Co (0.765, 0.765, 0.706)
Co (0.235, 0.235, 0.294)
Ga (0.128, 0.128, 0.617)
Ga (0.399, 0.399, 0.802)
Tm (0.000, 0.000, 0.000)
Ir (0.500, 0.500, 0.500)
Ga (0.601, 0.601, 0.198)
Ga (0.872, 0.872, 0.383)


# 4
First-principles (GGA-PBE) data for a relaxed Li2GaPbC crystal, as listed in the Alexandria database.

Computed properties:
Energy relative to the elements   1491 meV/atom
M_tot   2.25 μB per cell
Space group   No. 123

Cell lengths 5.383, 5.427, 5.383 Å; angles 90.00, 90.00, 90.00 degrees
Positions (direct):
Ga (0.000, 0.500, 0.000)
Pb (0.000, 0.000, 0.000)
C (0.500, 0.500, 0.500)
Li (0.000, 0.000, 0.500)
Li (0.500, 0.000, 0.000)


# 5
First-principles (GGA-PBE) data for a relaxed CrGeIr2 crystal, as listed in the Alexandria database.

Computed properties:
Energy relative to the elements   -133 meV/atom
M_tot   3.24 μB per cell
Space group   No. 123

Cell lengths 3.548, 4.020, 4.020 Å; angles 90.00, 90.00, 90.00 degrees
Positions (direct):
Ge (0.500, 0.000, 0.000)
Ir (0.000, 0.500, 0.000)
Ir (0.000, 0.000, 0.500)
Cr (0.500, 0.500, 0.500)


# 6
First-principles (GGA-PBE) data for a relaxed LiMg6Cr crystal, as listed in the Alexandria database.

Computed properties:
Energy relative to the elements   128 meV/atom
M_tot   4.28 μB per cell
Space group   No. 38

Cell lengths 6.216, 6.216, 5.050 Å; angles 90.00, 90.00, 119.22 degrees
Positions (direct):
Mg (0.844, 0.667, 0.500)
Cr (0.339, 0.661, 0.500)
Mg (0.651, 0.833, 0.000)
Li (0.166, 0.834, 0.000)
Mg (0.167, 0.349, 0.000)
Mg (0.333, 0.156, 0.500)
Mg (0.837, 0.163, 0.500)
Mg (0.663, 0.337, 0.000)


# 7
First-principles (GGA-PBE) data for a relaxed LiNd2AgS4 crystal, as listed in the Alexandria database.

Computed properties:
Energy relative to the elements, uncorrected   -1.5087 eV per atom
M_tot   0.00 μB per cell
Space group   No. 10

Cell lengths 4.114, 6.617, 7.134 Å; angles 68.56, 90.00, 90.00 degrees
Positions (direct):
Nd (0.000, 0.000, 0.000)
Ag (0.500, 0.500, 0.000)
S (0.500, 0.252, 0.744)
Nd (0.500, 0.000, 0.500)
S (0.000, 0.254, 0.251)
S (0.500, 0.748, 0.256)
S (0.000, 0.746, 0.749)
Li (0.000, 0.500, 0.500)


# 8
First-principles (GGA-PBE) data for a relaxed Hf2CuCN crystal, as listed in the Alexandria database.

Computed properties:
Energy relative to the elements, uncorrected   0.2403 eV per atom
M_tot   0.00 μB per cell
Space group   No. 123

Cell lengths 4.436, 3.544, 4.436 Å; angles 90.00, 90.00, 90.00 degrees
Positions (direct):
Hf (0.500, 0.000, 0.000)
Hf (0.000, 0.000, 0.500)
N (0.500, 0.500, 0.500)
C (0.000, 0.000, 0.000)
Cu (0.000, 0.500, 0.000)